MgCo2Ir: relaxed, PBE.

Properties
As for the calculated density: 10496 kg/m³. The space group is Amm2. The value obtained for the volume is 13.226 A^3/atom. The density of states at the Fermi level is 4.3 states/eV per cell. Its total energy is -6.15 eV per atom. The formation energy from the elements is 21 meV/atom.

a = 4.0912 Å, b = 2.6880 Å, c = 4.9955 Å
α = 74.37°, β = 90.00°, γ = 90.00°
With the nearest neighbours (Å) after each atom.
Atoms (fractional coordinates):
Co 0.5000 0.0617 0.2519  2 Co 2.36, 1 Mg 2.50
Co 0.0000 0.1834 0.0082  2 Co 2.36, 3 Ir 2.59-2.60
Ir 0.0000 0.4534 0.4674  7 Co 2.59-2.66, 2 Ir 2.69, 4 Mg 2.85
Mg 0.5000 0.8015 0.7725  7 Co 2.50-2.70, 2 Mg 2.69


Zn2Pb2O: relaxed, PBE.

Properties
For the relative energy among the computed polymorphs, the calculation gives 0.056 eV/atom. Its formation energy (no corrections) is 0.017 eV/atom. As for the calculated density: 8855 kg/m³. The space group is I4/mmm. The value obtained for the volume is 21.048 A^3/atom. The density of states at the Fermi level is 2.5 states/eV per cell. Its total energy is -2.97 eV per atom.

a = 3.4822 Å, b = 3.4822 Å, c = 9.0218 Å
α = 78.87°, β = 78.87°, γ = 90.00°
With the nearest neighbours (Å) after each atom.
Atoms (fractional coordinates):
Pb 0.4142 0.4142 0.1717  4 O 2.88, 1 Pb 2.98
Pb 0.5858 0.5858 0.8283  4 O 2.88, 1 Pb 2.98
O 0.0000 0.0000 0.0000  8 Pb 2.88
Zn 0.2500 0.7500 0.5000  4 Zn 2.46
Zn 0.7500 0.2500 0.5000  4 Zn 2.46


CsTiCrNi2: relaxed, PBE.

Properties
As for the calculated density: 5844 kg/m³. The space group is P4/mmm. The value obtained for the volume is 19.898 A^3/atom. The density of states at the Fermi level is 5.7 states/eV per cell. Its total energy is -4.92 eV per atom. The formation energy from the elements is 1070 meV/atom.

a = 4.7535 Å, b = 4.4029 Å, c = 4.7535 Å
α = 90.00°, β = 90.00°, γ = 90.00°
With the nearest neighbours (Å) after each atom.
Atoms (fractional coordinates):
Ti 0.0000 0.5000 0.0000  2 Cr 2.20
Cs 0.5000 0.5000 0.5000  8 Ni 3.24, 4 Ti 3.36
Cr 0.0000 0.0000 0.0000  2 Ti 2.20, 4 Ni 2.38
Ni 0.0000 0.0000 0.5000  2 Cr 2.38
Ni 0.5000 0.0000 0.0000  2 Cr 2.38


Ti4AlSi2: relaxed, PBE.

Properties
Its formation energy (no corrections) is -0.400 eV/atom. As for the calculated density: 4054 kg/m³. The space group is P2_1/m. The value obtained for the volume is 16.071 A^3/atom. The density of states at the Fermi level is 9.6 states/eV per cell. Its total energy is -7.00 eV per atom.

a = 5.0023 Å, b = 5.3013 Å, c = 8.4841 Å
α = 90.00°, β = 89.87°, γ = 90.00°
With the nearest neighbours (Å) after each atom.
Atoms (fractional coordinates):
Ti 0.3961 0.4991 0.7491  4 Si 2.60-2.67, 3 Ti 2.64-2.72
Ti 0.9217 0.7500 0.7562  2 Si 2.46-2.54, 2 Ti 2.72
Ti 0.6039 0.5009 0.2509  4 Si 2.60-2.67, 3 Ti 2.64-2.72
Ti 0.0783 0.2500 0.2438  2 Si 2.46-2.54, 2 Ti 2.72
Ti 0.1364 0.7500 0.4302  2 Si 2.58-2.64, 1 Al 2.83
Ti 0.6039 0.9991 0.2509  4 Si 2.60-2.67, 3 Ti 2.64-2.72
Ti 0.3961 0.0009 0.7491  4 Si 2.60-2.67, 3 Ti 2.64-2.72
Ti 0.8636 0.2500 0.5698  2 Si 2.58-2.64, 1 Al 2.83
Si 0.4016 0.2500 0.0131  5 Ti 2.54-2.62, 2 Al 2.63-2.71, 2 Si 2.84
Si 0.6427 0.7500 0.5176  7 Ti 2.46-2.67
Si 0.3573 0.2500 0.4824  7 Ti 2.46-2.67
Si 0.5984 0.7500 0.9869  5 Ti 2.54-2.62, 2 Al 2.63-2.71, 2 Si 2.84
Al 0.1068 0.7500 0.0965  2 Si 2.63-2.71, 3 Ti 2.83-2.93
Al 0.8932 0.2500 0.9035  2 Si 2.63-2.71, 3 Ti 2.83-2.93